This record from the Alexandria database describes an optimized crystal structure of UHPt. The functional is PBE-GGA.

Cell and atoms, written as POSCAR:
```
UHPt
1.0
3.925 0.000 0.000
-1.962 2.539 1.847
0.000 -2.010 7.965
H U Pt
2 2 2
direct
0.307 0.614 0.418
0.693 0.386 0.582
0.995 0.989 0.344
0.005 0.011 0.656
0.228 0.455 0.887
0.772 0.545 0.113
```

Output
Raw total energy, eV/atom: -7.20

=====

This record from the Alexandria database describes an optimized crystal structure of MnHg2Cl2. The functional is PBE-GGA.

Cell and atoms, written as POSCAR:
```
MnHg2Cl2
1.0
6.608 0.000 0.000
0.000 6.608 0.000
0.000 0.000 7.103
Mn Hg Cl
2 4 4
direct
0.000 0.000 0.000
0.500 0.500 0.000
0.176 0.676 0.500
0.676 0.824 0.500
0.824 0.324 0.500
0.324 0.176 0.500
0.317 0.817 0.000
0.817 0.683 0.000
0.683 0.183 0.000
0.183 0.317 0.000
```

Output
ΔE_f (raw), eV per atom: -0.453

=====

This record from the Alexandria database describes an optimized crystal structure of CoP3C. The functional is PBE-GGA.

Cell and atoms, written as POSCAR:
```
CoP3C
1.0
-2.041 -1.885 3.231
1.718 -3.742 -1.098
3.323 0.777 2.553
P C Co
3 1 1
direct
0.000 0.500 0.000
0.000 0.000 0.500
0.500 0.000 0.000
0.500 0.500 0.500
0.000 0.000 0.000
```

Output
Raw total energy, eV/atom: -4.83

=====

This record from the Alexandria database describes an optimized crystal structure of NbZnTe3. The functional is PBE-GGA.

Cell and atoms, written as POSCAR:
```
NbZnTe3
1.0
-1.492 4.836 -2.006
-5.119 -0.908 1.618
1.102 2.329 4.796
Nb Te Zn
1 3 1
direct
0.000 0.000 0.000
0.000 0.500 0.000
0.000 0.000 0.500
0.500 0.000 0.000
0.500 0.500 0.500
```

Output
ΔE_f (raw), eV per atom: 0.210